1.
DFT (PBE) results for an optimized crystal structure of Li5Mg4Zn.

V	19.0	A^3/atom
DOS at the Fermi energy	4.51	states/eV per cell
energy relative to the elements	-0.077	eV per atom
crystal system	tetragonal

Cell: 3.394 3.394 16.485 Å, 90.00 90.00 90.00°
Atoms (fractional coordinates):
Li1 0.500 0.500 0.917
Mg1 0.000 0.000 0.813
Mg2 0.000 0.000 0.603
Mg3 0.000 0.000 0.187
Li2 0.500 0.500 0.500
Li3 0.500 0.500 0.293
Zn1 0.000 0.000 0.000
Mg4 0.000 0.000 0.397
Li4 0.500 0.500 0.083
Li5 0.500 0.500 0.707



2.
DFT (PBE) results for an optimized crystal structure of AcLa2Gd.

V	38.2	A^3/atom
DOS at the Fermi energy	8.18	states/eV per cell
energy relative to the elements	0.118	eV per atom
crystal system	cubic
energy relative to the lowest polymorph listed for this composition	102.1	meV per atom

Cell: 6.001 6.001 6.001 Å, 60.00 60.00 60.00°
Site moments in Bohr magnetons follow the coordinates.
Atoms (fractional coordinates):
Gd1 0.000 0.000 0.000  -7.43
Ac1 0.500 0.500 0.500  -0.07
La1 0.750 0.750 0.750  -0.20
La2 0.250 0.250 0.250  -0.20



3.
DFT (PBE) results for an optimized crystal structure of KMgTeC2.

total energy	-2.24	eV per atom
V	31.9	A^3/atom
DOS at the Fermi energy	3.06	states/eV per cell
crystal system	tetragonal

Cell: 4.818 6.866 4.818 Å, 90.00 90.00 90.00°
Site moments in Bohr magnetons follow the coordinates.
Atoms (fractional coordinates):
Mg1 0.500 0.500 0.500  -0.01
Te1 0.000 0.500 0.000  0.07
C1 0.500 0.000 0.000  1.14
K1 0.000 0.000 0.000  0.13
C2 0.000 0.000 0.500  0.96



4.
DFT (PBE) results for an optimized crystal structure of Zr2TeOs.

total energy	-8.24	eV per atom
V	20.8	A^3/atom
DOS at the Fermi energy	2.30	states/eV per cell
crystal system	monoclinic

Cell: 3.332 3.245 8.041 Å, 73.49 90.00 90.00°
Atoms (fractional coordinates):
Os1 0.500 0.250 0.250
Zr1 0.000 0.574 0.466
Zr2 0.000 0.926 0.034
Te1 0.500 0.750 0.750



5.
DFT (PBE) results for an optimized crystal structure of Pm5PrTm3.

V	34.0	A^3/atom
DOS at the Fermi energy	27.33	states/eV per cell
energy relative to the elements	0.298	eV per atom
crystal system	tetragonal
energy relative to the lowest polymorph listed for this composition	170.1	meV per atom

Cell: 9.132 9.132 9.771 Å, 117.86 117.86 90.00°
Atoms (fractional coordinates):
Pm1 0.500 0.500 0.000
Pm2 0.831 0.932 0.263
Pm3 0.669 0.169 0.737
Pm4 0.432 0.331 0.263
Tm1 0.388 0.888 0.000
Pm5 0.169 0.068 0.737
Pm6 0.331 0.831 0.263
Pm7 0.000 0.000 0.000
Tm2 0.250 0.250 0.500
Pm8 0.932 0.432 0.263
Pm9 0.568 0.669 0.737
Tm3 0.750 0.750 0.500
Pr1 0.750 0.250 0.500
Tm4 0.112 0.388 0.000
Tm5 0.888 0.612 0.000
Pr2 0.250 0.750 0.500
Pm10 0.068 0.568 0.737
Tm6 0.612 0.112 0.000



6.
DFT (PBE) results for an optimized crystal structure of Hf3HgC.

V	17.7	A^3/atom
DOS at the Fermi energy	6.94	states/eV per cell
energy relative to the elements	0.155	eV per atom
crystal system	hexagonal
energy relative to the lowest polymorph listed for this composition	663.8	meV per atom

Cell: 4.725 4.725 9.174 Å, 90.00 90.00 120.00°
Atoms (fractional coordinates):
Hf1 0.333 0.667 0.425
Hf2 0.000 0.000 0.250
Hg1 0.333 0.667 0.750
C1 0.000 0.000 0.000
C2 0.000 0.000 0.500
Hf3 0.667 0.333 0.575
Hf4 0.333 0.667 0.075
Hf5 0.667 0.333 0.925
Hg2 0.667 0.333 0.250
Hf6 0.000 0.000 0.750



What is the DOS at the Fermi energy in the fifth record?
27.33 states/eV per cell